MgNbAs2Se (PBEsol, relaxed); raw total energy = -22.3 eV/cell; magnetization = 2.2 Bohr magnetons per cell; space-group type = P4/mmm
1.0
-1.7532 2.4942 -3.6642
-4.2650 -2.0226 0.6638
-1.2346 3.6018 3.0425
Se Mg As Nb
1 1 2 1
Direct
0.0000 0.0000 0.5000
0.0000 0.0000 0.0000
0.0000 0.5000 0.0000
0.5000 0.0000 0.0000
0.5000 0.5000 0.5000